1.
# Si3Sb2O9

Si3Sb2O9 after structural relaxation (GGA-PBEsol, the Alexandria database).

a b c (Å): 6.8478 6.8478 9.3113
angles (deg): 90.00 90.00 120.00
Space group P6_3/m (No. 176)
Asymmetric unit:
Si 0.0724 0.7909 0.2500 x6
Sb 0.3333 0.6667 0.5179 x4
O 0.0633 0.8143 0.7500 x6
O 0.0928 0.6705 0.1049 x12

Summary:
uncorrected energy	-211.1	eV for the cell shown
total moment	0.000	μB per cell



2.
# Si3SbO

Si3SbO after structural relaxation (GGA-PBEsol, the Alexandria database).

a b c (Å): 4.3298 4.3298 4.3298
angles (deg): 90.00 90.00 90.00
Space group Pm-3m (No. 221)
Asymmetric unit:
Si 0.0000 0.0000 0.5000 x3
Sb 0.5000 0.5000 0.5000 x1
O 0.0000 0.0000 0.0000 x1

Summary:
uncorrected energy	-26.2	eV for the cell shown
total moment	0.000	μB per cell